[1]
## BeAs2C2 (GGA-PBE)

Data for a relaxed structure of BeAs2C2.

a b c (Å): 6.311 6.311 3.133
angles (deg): 90.00 90.00 90.00
Positions (direct):
1 C 0.779 0.721 0.000
2 C 0.279 0.779 0.000
3 C 0.721 0.221 0.000
4 C 0.221 0.279 0.000
5 As 0.348 0.152 0.500
6 As 0.652 0.848 0.500
7 As 0.152 0.652 0.500
8 As 0.848 0.348 0.500
9 Be 0.500 0.500 0.000
10 Be 0.000 0.000 0.000

Computed properties:
Formation energy ... 1446.5 meV/atom
Total DFT energy (no corrections) ... -4.85 eV/atom

---

[2]
## BeAs3C (GGA-PBE)

Data for a relaxed structure of BeAs3C.

a b c (Å): 4.315 4.315 4.315
angles (deg): 90.00 90.00 90.00
Positions (direct):
1 As 0.000 0.500 0.000
2 As 0.500 0.000 0.000
3 As 0.000 0.000 0.500
4 C 0.000 0.000 0.000
5 Be 0.500 0.500 0.500

Computed properties:
Formation energy ... 1306.6 meV/atom
Total DFT energy (no corrections) ... -4.07 eV/atom

---

[3]
## Be3AsC (GGA-PBE)

Data for a relaxed structure of Be3AsC.

a b c (Å): 4.135 4.135 4.135
angles (deg): 90.00 90.00 90.00
Site moments in Bohr magnetons follow the coordinates.
Positions (direct):
1 Be 0.500 0.000 0.000  0.00
2 Be 0.000 0.500 0.000  -0.01
3 Be 0.000 0.000 0.500  -0.01
4 C 0.500 0.500 0.500  0.47
5 As 0.000 0.000 0.000  0.05

Computed properties:
Formation energy ... 1823.5 meV/atom
Total DFT energy (no corrections) ... -3.19 eV/atom

---

[4]
## Be2AsPC (GGA-PBE)

Data for a relaxed structure of Be2AsPC.

a b c (Å): 3.857 5.136 3.857
angles (deg): 90.00 90.00 90.00
Site moments in Bohr magnetons follow the coordinates.
Positions (direct):
1 Be 0.000 0.000 0.500  0.00
2 Be 0.500 0.000 0.000  -0.01
3 As 0.000 0.500 0.000  -0.02
4 P 0.000 0.000 0.000  0.01
5 C 0.500 0.500 0.500  0.13

Computed properties:
Formation energy ... 1552.9 meV/atom
Total DFT energy (no corrections) ... -3.79 eV/atom

---

[5]
## BeAsPd2C (GGA-PBE)

Data for a relaxed structure of BeAsPd2C.

a b c (Å): 4.720 3.777 4.720
angles (deg): 90.00 90.00 90.00
Positions (direct):
1 C 0.000 0.500 0.000
2 As 0.000 0.000 0.000
3 Be 0.500 0.500 0.500
4 Pd 0.500 0.000 0.000
5 Pd 0.000 0.000 0.500

Computed properties:
Formation energy ... 1261.6 meV/atom
Total DFT energy (no corrections) ... -4.34 eV/atom

---

[6]
## BeAsRu2C (GGA-PBE)

Data for a relaxed structure of BeAsRu2C.

a b c (Å): 4.144 3.475 4.144
angles (deg): 90.00 90.00 90.00
Positions (direct):
1 Ru 0.000 0.000 0.500
2 Ru 0.500 0.000 0.000
3 C 0.000 0.000 0.000
4 Be 0.000 0.500 0.000
5 As 0.500 0.500 0.500

Computed properties:
Formation energy ... 213.6 meV/atom
Total DFT energy (no corrections) ... -7.02 eV/atom